[1]
VASP calculation (PBE) on Sm4BiTeAs2 after structural relaxation.

a b c (Å): 7.498 4.328 7.627
angles (deg): 90.00 109.04 90.00
Space group P2/m (No. 10)
One atom of each set of equivalent atoms:
Sm 0.240 0.000 0.224 (multiplicity 2)
Sm 0.257 0.500 0.774 (multiplicity 2)
Bi 0.000 0.000 0.500 (multiplicity 1)
Te 0.500 0.500 0.500 (multiplicity 1)
As 0.000 0.500 0.000 (multiplicity 1)
As 0.500 0.000 0.000 (multiplicity 1)

Values from the calculation:
mass density: 7.72 g/cm3

[2]
VASP calculation (PBE) on Sm8BiTe4As3 after structural relaxation.

a b c (Å): 8.7083 8.7083 21.7338
angles (deg): 90.00 90.00 120.00
Space group R-3m (No. 166, hexagonal axes)
One atom of each set of equivalent atoms:
Sm 0.0000 0.0000 0.2398 (multiplicity 6)
Sm 0.0149 0.5075 0.7576 (multiplicity 18)
Bi 0.0000 0.0000 0.5000 (multiplicity 3)
Te 0.0000 0.0000 0.0000 (multiplicity 3)
Te 0.0000 0.5000 0.0000 (multiplicity 9)
As 0.0000 0.5000 0.5000 (multiplicity 9)

Values from the calculation:
mass density: 7.49 g/cm3

[3]
VASP calculation (PBE) on SmTmBiAs after structural relaxation.

a b c (Å): 4.2808 4.2808 21.4506
angles (deg): 90.00 90.00 120.00
Space group R3m (No. 160, hexagonal axes)
One atom of each set of equivalent atoms:
Sm 0.0000 0.0000 0.0000 (multiplicity 3)
Tm 0.0000 0.0000 0.5160 (multiplicity 3)
Bi 0.0000 0.0000 0.7610 (multiplicity 3)
As 0.0000 0.0000 0.2550 (multiplicity 3)

Values from the calculation:
mass density: 8.83 g/cm3
E_form: -1.157 eV/atom

The evaluated VASP energy for the records listed, in turn: -5.78; -5.69; -5.59 eV/atom.